1.
Ba2TeIBr | the Alexandria database | PBE | optimized geometry; energy relative to the elements, uncorrected = -1.828 eV per atom; N(E_F) = 0.0 states/eV/f.u.
1.0
-0.392 -5.351 2.602
5.279 2.745 -0.393
-1.155 3.113 6.229
Ba I Br Te
2 1 1 1
Cartesian
0.622 -0.291 6.328 Ba
3.138 0.722 1.956 Ba
-0.045 0.122 0.243 I
1.168 -1.761 3.388 Br
2.581 2.223 4.960 Te



2.
AcGdThHg | the Alexandria database | PBE | optimized geometry; E_form = 0.1027 eV/atom; N(E_F) = 6.8 states/eV/f.u.
1.0
-4.843 2.323 1.660
-0.994 0.819 5.473
-0.042 5.215 2.100
Ac Gd Hg Th
1 1 1 1
Cartesian
-4.409 6.268 6.924 Ac
0.000 0.000 0.000 Gd
-1.470 2.089 2.308 Hg
-2.939 4.179 4.616 Th



3.
LiY3Cd | the Alexandria database | PBE | optimized geometry; E_form = -0.1101 eV/atom; distance to the lowest polymorph of the same formula = 0 meV per atom; N(E_F) = 6.4 states/eV/f.u.
1.0
5.083 0.000 1.162
0.000 5.215 0.000
0.302 0.000 10.381
Y Cd Li
6 2 2
Cartesian
0.530 3.911 5.268 Y
3.909 1.304 2.185 Y
4.773 3.911 10.110 Y
1.376 3.911 1.565 Y
2.222 1.304 9.569 Y
3.068 1.304 5.866 Y
3.484 3.911 4.047 Cd
5.198 1.304 8.249 Cd
0.955 1.304 3.408 Li
2.643 3.911 7.726 Li



Number 1: size of the total moment 0.00 μB per formula unit. Number 2: size of the total moment 7.55 μB per formula unit. Number 3: size of the total moment 0.00 μB per formula unit.